A geometry-optimized LaY4Sc2 structure, computed with PBE.

Structure (POSCAR):
```
LaY4Sc2
1.0
5.583 0.000 0.000
0.000 5.583 0.000
0.000 0.000 15.786
La Y Sc
2 8 4
Direct
0.000 0.000 0.000
0.500 0.500 0.500
0.000 0.000 0.189
0.000 0.000 0.811
0.000 0.500 0.000
0.000 0.500 0.500
0.500 0.000 0.000
0.500 0.000 0.500
0.500 0.500 0.311
0.500 0.500 0.689
0.000 0.000 0.396
0.000 0.000 0.604
0.500 0.500 0.104
0.500 0.500 0.896
```

Values from the calculation:
**Symmetry**: I4/mmm, No. 139
**Calculated density**: 3.9 g/cm³
**N(E_F)**: 1.377 states/eV/atom
**Energy relative to the lowest polymorph listed for this composition**: 4.74 eV per formula unit
**Raw total energy**: -38.296 eV/f.u.